## KIn4Ga (GGA-PBE)

Data for KIn4Ga after structural relaxation.

POSCAR file:
```
KIn4Ga
1.0
-0.189 -3.183 5.438
3.446 -5.230 0.712
5.000 0.018 3.839
Ga In K
1 4 1
Direct
0.000 0.000 0.000 Ga
0.625 0.124 0.625 In
0.625 0.625 0.124 In
0.124 0.625 0.625 In
0.625 0.625 0.625 In
0.250 0.250 0.250 K
```

Output
Mass density = 5.3 g/cm3
N(E_F) = 3.841 states/eV per cell
Formation energy = 0.04 eV/atom

***

## Be3SbOs (GGA-PBE)

Data for Be3SbOs after structural relaxation.

POSCAR file:
```
Be3SbOs
1.0
-0.114 2.159 -3.716
-3.668 -1.987 -1.041
-2.240 3.143 1.895
Be Sb Os
3 1 1
Direct
0.000 0.500 0.000 Be
0.500 0.000 0.000 Be
0.000 0.000 0.500 Be
0.500 0.500 0.500 Sb
0.000 0.000 0.000 Os
```

Output
Mass density = 7.1 g/cm3
N(E_F) = 2.356 states/eV per cell
E_form (uncorrected) = 0.64 eV per atom